DFT (PBE) results for a geometry-optimized AcZn2CdAg8 structure.

Cell and atoms, written as POSCAR:
```
AcZn2CdAg8
1.0
5.322 -0.094 1.559
2.372 4.765 1.559
3.261 1.980 10.845
Ag Zn Cd Ac
8 2 1 1
Direct
0.699 0.205 0.233
0.795 0.301 0.767
0.334 0.334 0.501
0.666 0.666 0.499
0.697 0.697 0.912
0.205 0.699 0.233
0.303 0.303 0.088
0.301 0.795 0.767
0.326 0.326 0.742
0.674 0.674 0.258
0.000 0.000 0.000
0.000 0.000 0.500
```

## Properties
- Space group: C2/m
- V: 20.30 Å³/atom
- Energy: -2.610 eV per atom
- Total magnetization: 0.0000 μB per atom